Material: ZnPbSe2N
Method: DFT, GGA-PBE
State: optimized geometry

Energy relative to the elements, uncorrected ... 0.5105 eV per atom
Excess energy over the best structure of this formula in the dataset ... 0.0 meV/atom
Size of the total moment ... 2.2 μB per cell

```
data_ZnPbSe2N
_chemical_formula_sum 'Zn1 Pb1 Se2 N1'
_symmetry_space_group_name_H-M 'P 1'
_symmetry_Int_Tables_number 1
_cell_length_a 5.393
_cell_length_b 5.393
_cell_length_c 3.970
_cell_angle_alpha 90.00
_cell_angle_beta 90.00
_cell_angle_gamma 90.00
loop_
_symmetry_equiv_pos_as_xyz
'x,y,z'
loop_
_atom_site_label
_atom_site_fract_x
_atom_site_fract_y
_atom_site_fract_z
Se1 0.000 0.500 0.000
N1 0.000 0.000 0.500
Pb1 0.500 0.500 0.500
Zn1 0.000 0.000 0.000
Se2 0.500 0.000 0.000
```